First-principles (PBE-GGA) data for an optimized crystal structure of NdYTl2Cd2, as listed in OQMD.

The structure in extended XYZ format:
```
6
Lattice="4.929 0.000 0.000 -2.465 4.269 0.000 0.000 0.000 7.604" Properties=species:S:1:pos:R:3 pbc="T T T"
Nd 0.000 0.000 0.000
Y 0.000 0.000 3.798
Tl 0.000 2.846 5.349
Tl 2.465 1.423 1.611
Cd 0.000 2.846 2.242
Cd 2.465 1.423 5.971
```

Calculated values
Its total DFT energy (no corrections) is -19.9 eV per cell.


First-principles (PBE-GGA) data for an optimized crystal structure of Nd2YTl2Zn3Cd, as listed in OQMD.

The structure in extended XYZ format:
```
9
Lattice="4.609 0.000 0.000 0.000 6.346 3.719 0.000 -6.346 3.719" Properties=species:S:1:pos:R:3 pbc="T T T"
Nd 0.000 -3.664 3.719
Nd 0.000 3.664 3.719
Y 0.000 0.000 4.727
Tl 2.304 -2.072 5.293
Tl 2.304 2.072 5.293
Zn 2.304 -1.464 2.444
Zn 2.304 1.464 2.444
Zn 2.304 0.000 7.335
Cd 0.000 0.000 1.648
```

Calculated values
Its total DFT energy (no corrections) is -28.2 eV per cell.


First-principles (PBE-GGA) data for an optimized crystal structure of Nd2Tl2ZnCd, as listed in OQMD.

The structure in extended XYZ format:
```
6
Lattice="4.863 0.000 0.000 -2.432 4.212 0.000 0.000 0.000 7.682" Properties=species:S:1:pos:R:3 pbc="T T T"
Nd 0.000 0.000 0.000
Nd 0.000 0.000 3.764
Tl 0.000 2.808 5.384
Tl 2.432 1.404 1.658
Zn 0.000 2.808 2.235
Cd 2.432 1.404 6.052
```

Calculated values
Its total DFT energy (no corrections) is -18.6 eV per cell.


First-principles (PBE-GGA) data for an optimized crystal structure of NdTmCd6, as listed in OQMD.

The structure in extended XYZ format:
```
8
Lattice="5.065 0.000 0.000 0.000 7.262 0.000 0.000 0.000 5.065" Properties=species:S:1:pos:R:3 pbc="T T T"
Nd 0.000 0.000 0.000
Tm 2.532 3.631 2.496
Cd 0.000 1.877 2.537
Cd 0.000 3.631 0.002
Cd 0.000 5.385 2.537
Cd 2.532 0.000 2.504
Cd 2.532 1.877 5.027
Cd 2.532 5.385 5.027
```

Calculated values
The energy of formation is -281 meV per atom. Its total DFT energy (no corrections) is -16.9 eV per cell.


First-principles (PBE-GGA) data for an optimized crystal structure of NdTmCd6, as listed in OQMD.

The structure in extended XYZ format:
```
8
Lattice="5.066 0.000 0.000 0.000 5.066 0.000 0.000 0.000 7.257" Properties=species:S:1:pos:R:3 pbc="T T T"
Nd 0.000 0.000 0.000
Tm 2.533 2.533 3.628
Cd 0.000 0.000 3.628
Cd 0.000 2.533 1.873
Cd 0.000 2.533 5.383
Cd 2.533 0.000 1.873
Cd 2.533 0.000 5.383
Cd 2.533 2.533 0.000
```

Calculated values
The energy of formation is -281 meV per atom. Its total DFT energy (no corrections) is -16.9 eV per cell.


First-principles (PBE-GGA) data for an optimized crystal structure of NdTmCd4, as listed in OQMD.

The structure in extended XYZ format:
```
6
Lattice="3.388 0.000 0.000 0.000 4.990 0.000 -0.002 0.000 8.657" Properties=species:S:1:pos:R:3 pbc="T T T"
Nd 0.000 0.000 0.000
Tm -0.001 2.495 4.329
Cd 1.682 0.000 5.738
Cd 1.684 2.495 1.481
Cd 1.704 0.000 2.920
Cd 1.702 2.495 7.176
```

Calculated values
The energy of formation is -323 meV per atom. Its total DFT energy (no corrections) is -14.8 eV per cell.


First-principles (PBE-GGA) data for an optimized crystal structure of NdUCd, as listed in OQMD.

The structure in extended XYZ format:
```
3
Lattice="0.000 3.576 3.576 3.576 0.000 3.576 3.576 3.576 0.000" Properties=species:S:1:pos:R:3 pbc="T T T"
Nd 0.000 0.000 0.000
U 5.364 5.364 5.364
Cd 3.576 3.576 3.576
```

Calculated values
The energy of formation is 968 meV per atom. Its total DFT energy (no corrections) is -14.1 eV per cell.


First-principles (PBE-GGA) data for an optimized crystal structure of NdYCd6, as listed in OQMD.

The structure in extended XYZ format:
```
8
Lattice="5.118 0.000 0.000 0.000 5.118 0.000 0.000 0.000 7.254" Properties=species:S:1:pos:R:3 pbc="T T T"
Nd 0.000 0.000 0.000
Y 2.559 2.559 3.627
Cd 0.000 0.000 3.627
Cd 0.000 2.559 1.846
Cd 0.000 2.559 5.408
Cd 2.559 0.000 1.846
Cd 2.559 0.000 5.408
Cd 2.559 2.559 0.000
```

Calculated values
The energy of formation is -307 meV per atom. Its total DFT energy (no corrections) is -19.1 eV per cell.


First-principles (PBE-GGA) data for an optimized crystal structure of NdYCd6, as listed in OQMD.

The structure in extended XYZ format:
```
8
Lattice="5.124 0.000 0.000 0.000 7.247 0.000 0.000 0.000 5.124" Properties=species:S:1:pos:R:3 pbc="T T T"
Nd 0.000 0.000 0.000
Y 2.562 3.623 2.529
Cd 0.000 1.856 2.566
Cd 0.000 3.623 0.002
Cd 0.000 5.391 2.566
Cd 2.562 0.000 2.534
Cd 2.562 1.856 5.088
Cd 2.562 5.391 5.088
```

Calculated values
The energy of formation is -307 meV per atom. Its total DFT energy (no corrections) is -19.1 eV per cell.


First-principles (PBE-GGA) data for an optimized crystal structure of NdYCd6, as listed in OQMD.

The structure in extended XYZ format:
```
8
Lattice="6.660 0.000 0.000 -3.330 5.768 0.000 0.000 0.000 4.994" Properties=species:S:1:pos:R:3 pbc="T T T"
Nd 0.000 0.000 0.000
Y 3.330 1.923 2.497
Cd -1.628 2.905 0.000
Cd 0.000 2.008 2.497
Cd -1.591 4.764 2.497
Cd 1.628 2.905 0.000
Cd 0.000 5.725 0.000
Cd 1.591 4.764 2.497
```

Calculated values
The energy of formation is -313 meV per atom. Its total DFT energy (no corrections) is -19.1 eV per cell.


First-principles (PBE-GGA) data for an optimized crystal structure of Nd2ZnCd, as listed in OQMD.

The structure in extended XYZ format:
```
4
Lattice="3.730 0.000 0.000 0.000 3.730 0.000 0.000 0.000 7.627" Properties=species:S:1:pos:R:3 pbc="T T T"
Nd 0.000 0.000 1.759
Nd 0.000 0.000 5.868
Zn 1.865 1.865 0.000
Cd 1.865 1.865 3.814
```

Calculated values
The energy of formation is -329 meV per atom. Its total DFT energy (no corrections) is -13.0 eV per cell.


First-principles (PBE-GGA) data for an optimized crystal structure of NdZnCd, as listed in OQMD.

The structure in extended XYZ format:
```
3
Lattice="0.000 3.380 3.380 3.380 0.000 3.380 3.380 3.380 0.000" Properties=species:S:1:pos:R:3 pbc="T T T"
Nd 0.000 0.000 0.000
Zn 5.069 5.069 5.069
Cd 3.380 3.380 3.380
```

Calculated values
The energy of formation is -211 meV per atom. Its total DFT energy (no corrections) is -7.6 eV per cell.


First-principles (PBE-GGA) data for an optimized crystal structure of Cd2Ni7, as listed in OQMD.

The structure in extended XYZ format:
```
9
Lattice="2.649 0.000 0.000 -1.324 2.294 0.000 0.000 0.000 29.905" Properties=species:S:1:pos:R:3 pbc="T T T"
Cd 0.000 0.000 0.000
Cd 0.000 1.529 16.304
Ni 0.000 0.000 6.239
Ni 0.000 0.000 11.986
Ni 0.000 1.529 4.320
Ni 0.000 1.529 10.069
Ni 1.324 0.765 2.402
Ni 1.324 0.765 8.153
Ni 1.324 0.765 13.912
```

Calculated values
The energy of formation is 215 meV per atom. Its total DFT energy (no corrections) is -38.8 eV per cell.


First-principles (PBE-GGA) data for an optimized crystal structure of CdNi15, as listed in OQMD.

The structure in extended XYZ format:
```
32
Lattice="6.843 0.000 0.000 0.000 2.533 0.000 -0.002 0.000 33.534" Properties=species:S:1:pos:R:3 pbc="T T T"
Cd 0.855 0.633 7.025
Cd 5.985 1.900 26.509
Ni 0.840 0.633 22.343
Ni 0.855 0.633 9.925
Ni 0.854 0.633 12.441
Ni 0.854 0.633 14.913
Ni 0.856 0.633 17.381
Ni 0.855 0.633 19.856
Ni 0.881 0.633 24.842
Ni 2.552 1.900 11.192
Ni 2.567 1.900 13.677
Ni 2.567 1.900 16.148
Ni 2.564 1.900 18.622
Ni 2.564 1.900 21.100
Ni 2.565 1.900 23.557
Ni 2.564 1.900 26.031
Ni 2.594 1.900 8.692
Ni 4.247 0.633 24.843
Ni 4.276 0.633 7.503
Ni 4.276 0.633 9.978
Ni 4.276 0.633 12.434
Ni 4.276 0.633 14.913
Ni 4.274 0.633 17.387
Ni 4.274 0.633 19.857
Ni 4.289 0.633 22.342
Ni 5.959 1.900 8.693
Ni 5.985 1.900 13.679
Ni 5.985 1.900 16.153
Ni 5.987 1.900 18.622
Ni 5.987 1.900 21.093
Ni 5.985 1.900 23.609
Ni 6.000 1.900 11.191
```

Calculated values
The energy of formation is 135 meV per atom. Its total DFT energy (no corrections) is -164.5 eV per cell.


First-principles (PBE-GGA) data for an optimized crystal structure of CdNi17, as listed in OQMD.

The structure in extended XYZ format:
```
36
Lattice="4.953 0.000 0.000 -2.476 4.289 0.000 0.000 0.000 31.243" Properties=species:S:1:pos:R:3 pbc="T T T"
Cd 0.000 0.000 0.000
Cd 0.000 2.859 13.255
Ni 0.000 0.000 18.201
Ni 0.000 0.000 24.276
Ni -1.238 2.145 18.197
Ni -1.238 2.145 24.274
Ni 3.713 2.144 30.311
Ni 0.000 1.425 28.324
Ni -1.242 3.577 28.324
Ni 0.000 1.430 22.245
Ni -1.238 3.574 22.245
Ni 0.000 1.439 16.162
Ni -1.230 3.570 16.162
Ni 1.238 0.715 20.222
Ni 1.238 0.715 26.302
Ni 0.000 2.859 20.220
Ni 0.000 2.859 26.293
Ni 1.241 0.716 14.183
Ni 0.000 4.289 18.197
Ni 0.000 4.288 24.274
Ni 2.476 0.002 30.311
Ni 1.238 2.145 18.197
Ni 1.238 2.145 24.274
Ni 1.240 2.144 30.311
Ni 1.230 3.570 16.162
Ni 2.476 1.430 16.165
Ni 2.476 1.430 22.245
Ni 2.476 1.430 28.333
Ni 1.238 3.574 22.245
Ni 1.242 3.577 28.324
Ni 3.712 0.716 14.183
Ni 3.715 0.715 20.222
Ni 3.714 0.715 26.302
Ni 2.476 2.856 14.183
Ni 2.476 2.860 20.222
Ni 2.476 2.859 26.302
```

Calculated values
The energy of formation is 125 meV per atom. Its total DFT energy (no corrections) is -186.6 eV per cell.


First-principles (PBE-GGA) data for an optimized crystal structure of Cd2Ni, as listed in OQMD.

The structure in extended XYZ format:
```
6
Lattice="0.000 5.631 5.631 5.631 0.000 5.631 5.631 5.631 0.000" Properties=species:S:1:pos:R:3 pbc="T T T"
Cd 0.000 0.000 0.000
Cd 2.816 2.816 0.000
Cd 2.816 0.000 2.816
Cd 0.000 2.816 2.816
Ni 1.408 1.408 1.408
Ni 9.854 9.854 9.854
```

Calculated values
The energy of formation is 832 meV per atom. Its total DFT energy (no corrections) is -9.7 eV per cell.


First-principles (PBE-GGA) data for an optimized crystal structure of CdNi15, as listed in OQMD.

The structure in extended XYZ format:
```
32
Lattice="4.274 0.000 0.000 0.000 33.707 0.000 -1.382 0.000 4.045" Properties=species:S:1:pos:R:3 pbc="T T T"
Cd -0.346 7.013 1.011
Cd -1.037 26.694 3.034
Ni -1.037 8.762 3.034
Ni -0.346 10.003 1.011
Ni -1.037 11.264 3.034
Ni -0.346 12.512 1.011
Ni -1.037 13.752 3.034
Ni -0.346 14.991 1.011
Ni -1.037 16.235 3.034
Ni -0.346 17.472 1.011
Ni -1.037 18.716 3.034
Ni -0.346 19.955 1.011
Ni -1.037 21.195 3.034
Ni -0.346 22.443 1.011
Ni -1.037 23.703 3.034
Ni -0.346 24.945 1.011
Ni 1.100 7.634 3.034
Ni 1.792 8.761 1.011
Ni 1.100 10.043 3.034
Ni 1.792 11.264 1.011
Ni 1.100 12.513 3.034
Ni 1.792 13.754 1.011
Ni 1.100 14.994 3.034
Ni 1.792 16.236 1.011
Ni 1.100 17.471 3.034
Ni 1.792 18.713 1.011
Ni 1.100 19.953 3.034
Ni 1.792 21.194 1.011
Ni 1.100 22.443 3.034
Ni 1.792 23.664 1.011
Ni 1.100 24.946 3.034
Ni 1.792 26.073 1.011
```

Calculated values
The energy of formation is 104 meV per atom. Its total DFT energy (no corrections) is -165.5 eV per cell.


First-principles (PBE-GGA) data for an optimized crystal structure of CdNi7, as listed in OQMD.

The structure in extended XYZ format:
```
16
Lattice="2.591 0.000 0.000 0.000 3.423 0.000 0.000 0.000 33.365" Properties=species:S:1:pos:R:3 pbc="T T T"
Cd 0.648 0.856 7.083
Cd 1.943 2.567 26.282
Ni 0.648 0.856 9.928
Ni 0.648 0.856 12.415
Ni 0.648 0.856 14.854
Ni 0.648 0.856 17.286
Ni 0.648 0.856 19.733
Ni 0.648 0.856 22.197
Ni 0.648 0.856 24.647
Ni 1.943 2.567 8.718
Ni 1.943 2.567 11.168
Ni 1.943 2.567 13.631
Ni 1.943 2.567 16.079
Ni 1.943 2.567 18.511
Ni 1.943 2.567 20.949
Ni 1.943 2.567 23.436
```

Calculated values
The energy of formation is 89 meV per atom. Its total DFT energy (no corrections) is -78.3 eV per cell.


First-principles (PBE-GGA) data for an optimized crystal structure of CdNi9, as listed in OQMD.

The structure in extended XYZ format:
```
20
Lattice="2.535 0.000 0.000 0.000 2.535 0.000 0.000 0.000 47.106" Properties=species:S:1:pos:R:3 pbc="T T T"
Cd 0.634 0.634 7.000
Cd 1.901 1.901 40.106
Ni 0.634 0.634 10.826
Ni 0.634 0.634 14.183
Ni 0.634 0.634 17.579
Ni 0.634 0.634 20.988
Ni 0.634 0.634 24.402
Ni 0.634 0.634 27.829
Ni 0.634 0.634 31.228
Ni 0.634 0.634 34.604
Ni 0.634 0.634 37.946
Ni 1.901 1.901 9.160
Ni 1.901 1.901 12.502
Ni 1.901 1.901 15.878
Ni 1.901 1.901 19.277
Ni 1.901 1.901 22.704
Ni 1.901 1.901 26.118
Ni 1.901 1.901 29.526
Ni 1.901 1.901 32.923
Ni 1.901 1.901 36.280
```

Calculated values
The energy of formation is 121 meV per atom. Its total DFT energy (no corrections) is -99.6 eV per cell.


First-principles (PBE-GGA) data for an optimized crystal structure of Cd7Ni, as listed in OQMD.

The structure in extended XYZ format:
```
16
Lattice="1.599 -5.483 0.000 1.599 5.483 0.000 0.000 0.000 18.366" Properties=species:S:1:pos:R:3 pbc="T T T"
Cd 1.599 5.151 11.327
Cd 1.599 5.151 16.222
Cd 1.599 2.811 2.821
Cd 1.599 2.811 6.362
Cd 1.599 1.509 9.509
Cd 1.599 1.509 18.040
Cd 1.599 0.697 13.774
Cd 1.599 -0.697 4.591
Cd 1.599 -1.509 0.326
Cd 1.599 -1.509 8.857
Cd 1.599 -2.811 12.003
Cd 1.599 -2.811 15.545
Cd 1.599 -5.151 2.144
Cd 1.599 -5.151 7.039
Ni 1.599 3.944 13.774
Ni 1.599 -3.944 4.591
```

Calculated values
The energy of formation is -8 meV per atom. Its total DFT energy (no corrections) is -23.8 eV per cell.


| no. | density (kg/m³) |
| --- | --- |
| 1 | 8995 |
| 2 | 8357 |
| 3 | 9236 |
| 4 | 8804 |
| 5 | 8806 |
| 6 | 8654 |
| 7 | 8982 |
| 8 | 7930 |
| 9 | 7921 |
| 10 | 7855 |
| 11 | 7296 |
| 12 | 6927 |
| 13 | 5810 |
| 14 | 5673 |
| 15 | 5556 |
| 16 | 2637 |
| 17 | 5658 |
| 18 | 5872 |
| 19 | 7031 |
| 20 | 8719 |